Entry 1:
TmTiIr2 (PBE, relaxed); ΔE_f = -17.038 kcal/mol of atoms; volume = 17.20 Å³/atom; E_tot = -33.0 eV/cell
1.0
-2.5679 -3.8139 -0.1033
1.4418 -3.6800 -2.3516
1.3853 -3.7664 2.2463
Ir Tm Ti
2 1 1
direct
0.2500 0.2500 0.2500
0.7500 0.7500 0.7500
0.0000 0.0000 0.0000
0.5000 0.5000 0.5000


Entry 2:
IrPt2 (PBE, relaxed); ΔE_f = 1.449 kcal/mol of atoms; volume = 15.31 Å³/atom; E_tot = -20.8 eV/cell
1.0
6.2082 -0.0048 0.0000
4.9545 3.7410 0.0000
-5.5814 -1.8681 1.9750
Ir Pt
1 2
direct
0.0000 0.0000 0.0000
0.3369 0.3369 0.0000
0.6631 0.6631 0.0000


Entry 3:
Tm2GePbO6 (PBE, relaxed); volume = 15.58 Å³/atom; E_tot = -69.2 eV/cell
1.0
5.5258 0.0000 0.0000
0.0000 5.3101 0.0000
0.0000 0.0000 5.3101
Tm O Pb Ge
2 6 1 1
direct
0.9624 0.5000 0.0000
0.9624 0.0000 0.5000
0.0917 0.5000 0.5000
0.7525 0.2297 0.7703
0.7525 0.2297 0.2297
0.7525 0.7703 0.7703
0.7525 0.7703 0.2297
0.2917 0.0000 0.0000
0.5135 0.5000 0.5000
0.6153 0.0000 0.0000


Entry 4:
LiIn2Rh (PBE, relaxed); ΔE_f = 1.830 kcal/mol of atoms; volume = 20.79 Å³/atom; E_tot = -28.8 eV/cell
1.0
4.2448 0.0000 0.0000
0.0000 4.2448 0.0000
2.1224 2.1224 9.2316
Li In Rh
2 4 2
direct
0.5000 0.5000 0.0000
0.2500 0.7500 0.5000
0.8750 0.8829 0.7500
0.1171 0.6250 0.2500
0.6329 0.1250 0.2500
0.3750 0.3671 0.7500
0.0000 0.0000 0.0000
0.7500 0.2500 0.5000


Entry 5:
Ba2Cu2Si (PBE, relaxed); volume = 26.96 Å³/atom; E_tot = -17.1 eV/cell
1.0
-3.0663 -2.0877 -0.0247
2.0471 -3.0149 0.6933
-1.5926 -1.0742 9.9559
Cu Ba Si
2 2 1
direct
0.2500 0.7500 0.5000
0.7500 0.2500 0.5000
0.3931 0.3931 0.2138
0.6069 0.6069 0.7862
0.0000 0.0000 0.0000


Entry 6:
La4SmHo2Er (PBE, relaxed); ΔE_f = 0.463 kcal/mol of atoms; volume = 34.21 Å³/atom; E_tot = -38.0 eV/cell
1.0
5.2488 0.0000 0.0000
0.0000 5.0128 1.4473
0.0001 2.2415 11.0479
La Sm Er Ho
4 1 1 2
direct
0.5000 0.7471 0.2526
0.0000 0.7525 0.7476
0.5000 0.2529 0.7474
0.0000 0.2475 0.2524
0.5000 0.5000 0.0000
0.0000 0.5000 0.5000
0.5000 0.0000 0.5000
0.0000 0.0000 0.0000


Entry 7:
Al3Ga2Ag4 (PBE, relaxed); ΔE_f = 0.225 kcal/mol of atoms; volume = 17.57 Å³/atom; E_tot = -28.6 eV/cell
1.0
2.9579 0.0000 0.0000
-1.4789 2.5616 0.0000
0.0000 0.0000 20.8671
Al Ag Ga
3 4 2
direct
0.0000 0.0000 0.9817
0.0000 0.0000 0.3264
0.6667 0.3333 0.6504
0.6667 0.3333 0.2227
0.6667 0.3333 0.4299
0.0000 0.0000 0.7556
0.0000 0.0000 0.5467
0.6667 0.3333 0.8698
0.6667 0.3333 0.0939


Entry 8:
CsScAs3 (PBE, relaxed); ΔE_f = -5.267 kcal/mol of atoms; volume = 29.57 Å³/atom; E_tot = -22.3 eV/cell
1.0
5.2876 0.0000 0.0000
0.0000 5.2876 0.0000
0.0000 0.0000 5.2876
As Sc Cs
3 1 1
direct
0.0000 0.0000 0.5000
0.0000 0.5000 0.0000
0.5000 0.0000 0.0000
0.0000 0.0000 0.0000
0.5000 0.5000 0.5000


Entry 9:
SrCoIr2 (PBE, relaxed); ΔE_f = 13.969 kcal/mol of atoms; volume = 17.32 Å³/atom; E_tot = -24.1 eV/cell
1.0
-3.0009 -3.0394 0.1549
1.2850 -1.0823 3.6589
-2.5627 2.6156 1.6737
Ir Sr Co
2 1 1
direct
0.0000 0.0000 0.0000
0.0000 0.5000 0.5000
0.5000 0.5000 0.0000
0.5000 0.0000 0.5000


Entry 10:
La4PrSmEr2 (PBE, relaxed); ΔE_f = 0.332 kcal/mol of atoms; volume = 34.63 Å³/atom; E_tot = -38.2 eV/cell
1.0
3.6791 0.0000 0.0000
0.0001 11.8713 -1.8699
0.0000 2.0862 6.0148
Er La Sm Pr
2 4 1 1
direct
0.5000 0.0000 0.5000
0.0000 0.0000 0.0000
0.5000 0.2453 0.7505
0.0000 0.2446 0.2524
0.0000 0.7554 0.7476
0.5000 0.7547 0.2495
0.0000 0.5000 0.5000
0.5000 0.5000 0.0000


Entry 11:
ErSc2Pd (PBE, relaxed); ΔE_f = -10.628 kcal/mol of atoms; volume = 23.48 Å³/atom; E_tot = -97.0 eV/cell
1.0
6.0814 0.0000 0.0000
0.0000 6.5621 0.0000
0.0000 0.0000 9.4121
Er Pd Sc
4 4 8
direct
0.3828 0.4905 0.7500
0.1172 0.9905 0.7500
0.8828 0.0095 0.2500
0.6172 0.5095 0.2500
0.5713 0.1032 0.7500
0.4287 0.8968 0.2500
0.9287 0.6032 0.7500
0.0713 0.3968 0.2500
0.1795 0.6781 0.4480
0.3205 0.1781 0.4480
0.3205 0.1781 0.0520
0.6795 0.8219 0.9480
0.8205 0.3219 0.9480
0.1795 0.6781 0.0520
0.8205 0.3219 0.5520
0.6795 0.8219 0.5520


Entry 12:
BaPmEuTl (PBE, relaxed); ΔE_f = -0.679 kcal/mol of atoms; volume = 36.60 Å³/atom; E_tot = -19.4 eV/cell
1.0
-2.0652 4.0134 3.8247
-5.6723 -0.1537 1.6741
-1.4148 -1.6198 5.5114
Eu Pm Tl Ba
1 1 1 1
direct
0.2500 0.2500 0.2500
0.5000 0.5000 0.5000
0.7500 0.7500 0.7500
0.0000 0.0000 0.0000


Entry 13:
EuIn3 (PBE, relaxed); ΔE_f = -5.816 kcal/mol of atoms; volume = 28.08 Å³/atom; E_tot = -19.5 eV/cell
1.0
-2.8950 4.4532 -1.0565
-3.0564 2.2258 3.8772
1.4314 4.7426 2.1880
In Eu
3 1
direct
0.7500 0.7500 0.7500
0.2500 0.2500 0.2500
0.0000 0.0000 0.0000
0.5000 0.5000 0.5000


Entry 14:
TaTi6Tc2 (PBE, relaxed); ΔE_f = -6.073 kcal/mol of atoms; volume = 16.40 Å³/atom; E_tot = -82.3 eV/cell
1.0
3.1036 0.0000 0.4927
1.3665 4.9696 1.4135
0.0712 -0.0433 9.5721
Ti Tc Ta
6 2 1
direct
0.9855 0.6967 0.3324
0.3215 0.7827 0.5742
0.0145 0.3033 0.6676
0.3202 0.4809 0.8788
0.6785 0.2173 0.4258
0.6798 0.5191 0.1212
0.6619 0.8948 0.7814
0.3381 0.1052 0.2186
0.0000 0.0000 0.0000


Entry 15:
Tb2PPb (PBE, relaxed); ΔE_f = -24.599 kcal/mol of atoms; volume = 26.85 Å³/atom; E_tot = -22.6 eV/cell
1.0
3.9406 0.0000 0.0000
-1.9703 3.4221 0.0024
0.0000 -2.2712 7.9629
Tb P Pb
2 1 1
direct
0.2675 0.0351 0.3019
0.7325 0.9649 0.6981
0.0000 0.5000 0.5000
0.5000 0.5000 0.0000


Entry 16:
TbHo5Ag4 (PBE, relaxed); ΔE_f = -5.820 kcal/mol of atoms; volume = 25.32 Å³/atom; E_tot = -41.4 eV/cell
1.0
3.5921 0.0000 0.0000
0.0000 3.5921 0.0000
0.0000 0.0000 19.6260
Ho Ag Tb
5 4 1
direct
0.5000 0.5000 0.3124
0.5000 0.5000 0.1262
0.5000 0.5000 0.5000
0.5000 0.5000 0.8738
0.5000 0.5000 0.6876
0.0000 0.0000 0.2194
0.0000 0.0000 0.7806
0.0000 0.0000 0.4068
0.0000 0.0000 0.5932
0.0000 0.0000 0.0000


Entry 17:
SmB4Ru4 (PBE, relaxed); ΔE_f = -10.880 kcal/mol of atoms; volume = 11.91 Å³/atom; E_tot = -291.1 eV/cell
1.0
9.2416 0.0031 0.0000
3.0977 8.7070 0.0000
-6.1696 -4.3550 5.3270
B Ru Sm
16 16 4
direct
0.2240 0.9142 0.9746
0.1642 0.9740 0.4746
0.4993 0.6895 0.5254
0.0260 0.5007 0.1902
0.9395 0.2493 0.0254
0.5260 0.3358 0.5254
0.4395 0.4142 0.6902
0.5858 0.2760 0.0254
0.2507 0.5605 0.9746
0.3105 0.8358 0.8098
0.0858 0.0605 0.3098
0.9993 0.4740 0.8098
0.8105 0.0007 0.4746
0.7507 0.7760 0.6902
0.7240 0.7493 0.3098
0.6642 0.1895 0.1902
0.3346 0.5728 0.5309
0.0538 0.7919 0.9691
0.5419 0.0728 0.2381
0.8228 0.0846 0.0309
0.5538 0.5846 0.2619
0.2081 0.1772 0.2619
0.8346 0.3038 0.7619
0.9154 0.9462 0.7381
0.3228 0.2919 0.7381
0.1962 0.6654 0.2381
0.6962 0.4581 0.5309
0.9272 0.1654 0.4691
0.0419 0.8038 0.4691
0.7081 0.4462 0.0309
0.4272 0.9581 0.7619
0.4154 0.6772 0.9691
0.0000 0.5000 0.5000
0.2500 0.2500 0.0000
0.7500 0.7500 0.0000
0.5000 0.0000 0.5000


Entry 18:
TbBeRu (PBE, relaxed); ΔE_f = -6.560 kcal/mol of atoms; volume = 16.82 Å³/atom; E_tot = -73.9 eV/cell
1.0
4.1458 0.0000 0.0000
0.0000 7.0607 0.0000
0.0000 0.0000 6.8936
Ru Be Tb
4 4 4
direct
0.2500 0.4289 0.6687
0.7500 0.9289 0.8313
0.2500 0.0711 0.1687
0.7500 0.5711 0.3313
0.2500 0.4092 0.3159
0.7500 0.9092 0.1841
0.2500 0.0908 0.8159
0.7500 0.5908 0.6841
0.2500 0.6972 0.9941
0.7500 0.1972 0.5059
0.7500 0.3028 0.0059
0.2500 0.8028 0.4941


Entry 19:
NaSrLi2Hf (PBE, relaxed); ΔE_f = 31.009 kcal/mol of atoms; volume = 28.55 Å³/atom; E_tot = -10.1 eV/cell
1.0
5.1247 0.0000 0.0000
0.0000 5.4348 0.0000
0.0000 0.0000 5.1247
Sr Li Na Hf
1 2 1 1
direct
0.0000 0.0000 0.0000
0.0000 0.0000 0.5000
0.5000 0.0000 0.0000
0.0000 0.5000 0.0000
0.5000 0.5000 0.5000


Entry 20:
Nd2SmTl3S6 (PBE, relaxed); volume = 28.16 Å³/atom; E_tot = -63.6 eV/cell
1.0
-2.8001 1.4766 -6.4811
0.8621 -6.8524 2.0801
-6.2356 1.8312 4.4489
Tl S Sm Nd
3 6 1 2
direct
0.8330 0.1670 0.5000
0.5000 0.5000 0.5000
0.1670 0.8330 0.5000
0.7379 0.7379 0.2041
0.3979 0.0678 0.2034
0.9322 0.6021 0.7966
0.2621 0.2621 0.7959
0.6021 0.9322 0.7966
0.0678 0.3979 0.2034
0.0000 0.0000 0.0000
0.6667 0.3333 0.0000
0.3333 0.6667 0.0000